(1)
{
  "formula": "La7ZnP2",
  "functional": "GGA-PBEsol",
  "state": "optimized geometry",
  "lattice_angstrom": [[11.7889, 0.0000, 0.0000], [0.0000, 11.7889, 0.0000], [0.0000, 0.0000, 4.0885]],
  "species": ["La", "La", "La", "La", "La", "La", "La", "La", "La", "La", "La", "La", "La", "La", "Zn", "Zn", "P", "P", "P", "P"],
  "frac_coords": [[0.0000, 0.5000, 0.0000], [0.0703, 0.1957, 0.0000], [0.1727, 0.6727, 0.5000], [0.1957, 0.9297, 0.0000], [0.3043, 0.4297, 0.0000], [0.3273, 0.1727, 0.5000], [0.4297, 0.6957, 0.0000], [0.5000, 0.0000, 0.0000], [0.5703, 0.3043, 0.0000], [0.6727, 0.8273, 0.5000], [0.6957, 0.5703, 0.0000], [0.8043, 0.0703, 0.0000], [0.8273, 0.3273, 0.5000], [0.9297, 0.8043, 0.0000], [0.0000, 0.0000, 0.5000], [0.5000, 0.5000, 0.5000], [0.1318, 0.3682, 0.5000], [0.3682, 0.8682, 0.5000], [0.6318, 0.1318, 0.5000], [0.8682, 0.6318, 0.5000]],
  "crystal_system": "tetragonal",
  "e_form_ev_per_atom": -0.66
}

=====

(2)
{
  "formula": "LaZnP2",
  "functional": "GGA-PBEsol",
  "state": "optimized geometry",
  "lattice_angstrom": [[4.5294, 0.0000, 0.0000], [0.0000, 4.5294, 0.0000], [0.0000, 0.0000, 4.0099]],
  "species": ["La", "Zn", "P", "P"],
  "frac_coords": [[0.0000, 0.0000, 0.0000], [0.5000, 0.5000, 0.7215], [0.0000, 0.5000, 0.5020], [0.5000, 0.0000, 0.5020]],
  "crystal_system": "tetragonal",
  "e_form_ev_per_atom": -0.62
}

=====

(3)
{
  "formula": "LaZnP",
  "functional": "GGA-PBEsol",
  "state": "optimized geometry",
  "lattice_angstrom": [[0.0000, 3.2705, 3.2705], [3.2705, 0.0000, 3.2705], [3.2705, 3.2705, 0.0000]],
  "species": ["La", "Zn", "P"],
  "frac_coords": [[0.0000, 0.0000, 0.0000], [0.5000, 0.5000, 0.5000], [0.2500, 0.2500, 0.2500]],
  "crystal_system": "cubic",
  "e_form_ev_per_atom": -0.48
}

=====

(4)
{
  "formula": "LaZnP",
  "functional": "GGA-PBEsol",
  "state": "optimized geometry",
  "lattice_angstrom": [[4.0661, 0.0000, 0.0000], [-2.0330, 3.5213, 0.0000], [0.0000, 0.0000, 4.2519]],
  "species": ["La", "Zn", "P"],
  "frac_coords": [[0.0000, 0.0000, 0.0000], [0.6667, 0.3333, 0.5012], [0.3333, 0.6667, 0.4994]],
  "crystal_system": "trigonal",
  "e_form_ev_per_atom": -0.92
}

=====

(5)
{
  "formula": "LaZnP3",
  "functional": "GGA-PBEsol",
  "state": "optimized geometry",
  "lattice_angstrom": [[5.3380, 0.0000, 0.0000], [0.0000, 5.3380, 0.0000], [0.0000, 0.0000, 5.3380]],
  "species": ["La", "Zn", "P", "P", "P"],
  "frac_coords": [[0.0000, 0.0000, 0.0000], [0.5000, 0.5000, 0.5000], [0.0000, 0.0000, 0.5000], [0.0000, 0.5000, 0.0000], [0.5000, 0.0000, 0.0000]],
  "crystal_system": "cubic",
  "e_form_ev_per_atom": 1.10
}

=====

(6)
{
  "formula": "LaZn4P",
  "functional": "GGA-PBEsol",
  "state": "optimized geometry",
  "lattice_angstrom": [[0.0000, 3.7804, 3.7804], [3.7804, 0.0000, 3.7804], [3.7804, 3.7804, 0.0000]],
  "species": ["La", "Zn", "Zn", "Zn", "Zn", "P"],
  "frac_coords": [[0.0000, 0.0000, 0.0000], [0.3766, 0.3766, 0.3766], [0.3766, 0.3766, 0.8703], [0.3766, 0.8703, 0.3766], [0.8703, 0.3766, 0.3766], [0.7500, 0.7500, 0.7500]],
  "crystal_system": "cubic",
  "e_form_ev_per_atom": -0.06
}

=====

(7)
{
  "formula": "La2ZnP",
  "functional": "GGA-PBEsol",
  "state": "optimized geometry",
  "lattice_angstrom": [[-2.4497, 2.4497, 3.9076], [2.4497, -2.4497, 3.9076], [2.4497, 2.4497, -3.9076]],
  "species": ["La", "La", "Zn", "P"],
  "frac_coords": [[0.2500, 0.7500, 0.5000], [0.7500, 0.2500, 0.5000], [0.0000, 0.0000, 0.0000], [0.5000, 0.5000, 0.0000]],
  "crystal_system": "tetragonal",
  "e_form_ev_per_atom": -0.67
}

=====

(8)
{
  "formula": "LaZnP",
  "functional": "GGA-PBEsol",
  "state": "optimized geometry",
  "lattice_angstrom": [[-1.7567, 1.7567, 5.0050], [1.7567, -1.7567, 5.0050], [1.7567, 1.7567, -5.0050]],
  "species": ["La", "Zn", "P"],
  "frac_coords": [[0.0000, 0.0000, 0.0000], [0.2993, 0.2993, 0.0000], [0.6960, 0.6960, 0.0000]],
  "crystal_system": "tetragonal",
  "e_form_ev_per_atom": -0.49
}

=====

| no. | theoretical density (g cm⁻³) |
| --- | --- |
| 1 | 6.43 |
| 2 | 5.37 |
| 3 | 5.58 |
| 4 | 6.42 |
| 5 | 3.24 |
| 6 | 6.63 |
| 7 | 6.62 |
| 8 | 6.32 |